1.
Computed, not measured: a relaxed LuCdHgAu crystal at the GGA-PBE level of DFT.

Output
Formation energy from the elements ... -0.488 eV per atom
Raw total energy ... -10.936 eV per cell
Spin magnetization ... 0.0 μB per cell

Unit cell a=4.945 b=4.945 c=4.945 alpha=60.00 beta=60.00 gamma=60.00
Atoms (fractional coordinates):
Au 0.750 0.750 0.750
Cd 0.000 0.000 0.000
Hg 0.250 0.250 0.250
Lu 0.500 0.500 0.500

2.
Computed, not measured: a relaxed LaPrTe2As2 crystal at the GGA-PBE level of DFT.

Output
Raw total energy ... -32.501 eV per cell
Spin magnetization ... 0.0 μB per cell

Unit cell a=4.227 b=4.227 c=9.440 alpha=90.00 beta=90.00 gamma=90.00
Atoms (fractional coordinates):
As 0.500 0.000 0.998
As 0.000 0.500 0.998
La 0.000 0.000 0.256
Pr 0.500 0.500 0.745
Te 0.500 0.500 0.378
Te 0.000 0.000 0.625

3.
Computed, not measured: a relaxed CdMo3CN crystal at the GGA-PBE level of DFT.

Output
Raw total energy ... -101.081 eV per cell
Spin magnetization ... 0.0 μB per cell

Unit cell a=3.105 b=3.105 c=19.098 alpha=90.00 beta=90.00 gamma=120.00
Atoms (fractional coordinates):
C 0.333 0.667 0.069
C 0.667 0.333 0.931
Cd 0.000 0.000 0.253
Cd 0.000 0.000 0.747
Mo 0.000 0.000 0.000
Mo 0.667 0.333 0.125
Mo 0.667 0.333 0.380
Mo 0.000 0.000 0.500
Mo 0.333 0.667 0.620
Mo 0.333 0.667 0.875
N 0.333 0.667 0.435
N 0.667 0.333 0.565

4.
Computed, not measured: a relaxed NdTl crystal at the GGA-PBE level of DFT.

Output
Raw total energy ... -6.038 eV per cell
Spin magnetization ... 0.1 μB per cell

Unit cell a=4.989 b=4.989 c=4.989 alpha=60.00 beta=60.00 gamma=60.00
Atoms (fractional coordinates):
Nd 0.000 0.000 0.000
Tl 0.250 0.250 0.250

What is the raw total energy in the third record?
-101.081 eV per cell